Version 1
{
  "formula": "BaY2Br",
  "functional": "GGA-PBEsol",
  "state": "relaxed",
  "lattice_angstrom": [[5.707, 0.000, 0.000], [2.854, 4.943, 0.000], [2.854, 1.648, 4.660]],
  "species": ["Y", "Y", "Br", "Ba"],
  "frac_coords": [[0.000, 0.000, 0.000], [0.750, 0.750, 0.750], [0.250, 0.250, 0.250], [0.500, 0.500, 0.500]],
  "sg": "No. 216"
}


Version 2
{
  "formula": "BaY2Br",
  "functional": "GGA-PBEsol",
  "state": "relaxed",
  "lattice_angstrom": [[-3.007, -0.191, 2.048], [-0.240, -5.672, -0.880], [3.579, -0.953, 5.168]],
  "species": ["Br", "Y", "Y", "Ba"],
  "frac_coords": [[0.000, 0.500, 0.500], [0.500, 0.500, 0.000], [0.000, 0.000, 0.000], [0.500, 0.000, 0.500]],
  "sg": "No. 47"
}


Which structure is the least stable? The one labeled version 1.